#i
# In2SiAu2 (PBE-GGA, relaxed)
data_In2SiAu2
_cell_length_a 8.047
_cell_length_b 8.047
_cell_length_c 8.047
_cell_angle_alpha 152.43
_cell_angle_beta 152.43
_cell_angle_gamma 39.38
_symmetry_space_group_name_H-M 'P 1'
_symmetry_Int_Tables_number 1
loop_
_symmetry_equiv_pos_as_xyz
'x,y,z'
loop_
_atom_site_label
_atom_site_type_symbol
_atom_site_fract_x
_atom_site_fract_y
_atom_site_fract_z
Au1 Au 0.750 0.250 0.500
Au2 Au 0.250 0.750 0.500
In1 In 0.400 0.400 0.000
In2 In 0.600 0.600 0.000
Si1 Si 0.000 0.000 0.000
# **M_tot**: 0.00 μB/cell
# **ρ**: 9.714 g/cm3
# **Space group**: I4/mmm, No. 139

---

#ii
# In2SiAu2 (PBE-GGA, relaxed)
data_In2SiAu2
_cell_length_a 8.047
_cell_length_b 8.047
_cell_length_c 3.357
_cell_angle_alpha 90.00
_cell_angle_beta 90.00
_cell_angle_gamma 90.00
_symmetry_space_group_name_H-M 'P 1'
_symmetry_Int_Tables_number 1
loop_
_symmetry_equiv_pos_as_xyz
'x,y,z'
loop_
_atom_site_label
_atom_site_type_symbol
_atom_site_fract_x
_atom_site_fract_y
_atom_site_fract_z
In1 In 0.674 0.174 0.000
In2 In 0.326 0.826 0.000
In3 In 0.174 0.326 0.000
In4 In 0.826 0.674 0.000
Si1 Si 0.000 0.000 0.000
Si2 Si 0.500 0.500 0.000
Au1 Au 0.625 0.875 0.500
Au2 Au 0.375 0.125 0.500
Au3 Au 0.125 0.625 0.500
Au4 Au 0.875 0.375 0.500
# **M_tot**: 0.00 μB/cell
# **ρ**: 9.957 g/cm3
# **Space group**: P4/mbm, No. 127

---

Least stable of them? #ii.